No. 1
This record from Alexandria via LeMat-Bulk describes TbIn3Hg2 after structural relaxation. The functional is PBE.

Output
E, eV per atom: -2.474
Theoretical density, g cm⁻³: 10.048
DOS at the Fermi energy, states/eV per atom: 0.40
Crystal system: orthorhombic
Energy relative to the elements, eV per atom: -0.23

a = 4.6152 Å, b = 13.8920 Å, c = 4.6633 Å
α = 90.00°, β = 90.00°, γ = 90.00°
Space group Cmmm (No. 65)
Inequivalent atoms, fractional coordinates:
Tb (0.0000, 0.0000, 0.0000) [2 per cell]
In (0.0000, 0.1717, 0.5000) [4 per cell]
In (0.0000, 0.5000, 0.5000) [2 per cell]
Hg (0.0000, 0.3338, 0.0000) [4 per cell]

=====

No. 2
This record from Alexandria via LeMat-Bulk describes Tb3InHg after structural relaxation. The functional is PBE.

Output
E, eV per atom: -3.479
Theoretical density, g cm⁻³: 8.500
DOS at the Fermi energy, states/eV per atom: 1.05
Crystal system: orthorhombic
Energy relative to the elements, eV per atom: -0.09

a = 8.0933 Å, b = 14.0183 Å, c = 5.4562 Å
α = 90.00°, β = 90.00°, γ = 90.00°
Space group Cmcm (No. 63)
Inequivalent atoms, fractional coordinates:
Tb (0.0000, 0.1944, 0.2500) [4 per cell]
Tb (0.2084, 0.4029, 0.2500) [8 per cell]
In (0.0000, 0.3335, 0.7500) [4 per cell]
Hg (0.0000, 0.0000, 0.0000) [4 per cell]

=====

No. 3
This record from Alexandria via LeMat-Bulk describes Tb3InHg4 after structural relaxation. The functional is PBE.

Output
E, eV per atom: -2.542
Theoretical density, g cm⁻³: 10.561
DOS at the Fermi energy, states/eV per atom: 0.66
Crystal system: orthorhombic
Energy relative to the elements, eV per atom: -0.31

a = 3.6458 Å, b = 7.0010 Å, c = 17.1745 Å
α = 90.00°, β = 90.00°, γ = 90.00°
Space group Immm (No. 71)
Inequivalent atoms, fractional coordinates:
Tb (0.0000, 0.0000, 0.0000) [2 per cell]
Tb (0.0000, 0.5000, 0.2188) [4 per cell]
In (0.0000, 0.0000, 0.5000) [2 per cell]
Hg (0.0000, 0.2816, 0.3732) [8 per cell]

=====

No. 4
This record from Alexandria via LeMat-Bulk describes TbInHg4 after structural relaxation. The functional is PBE.

Output
E, eV per atom: -1.640
Theoretical density, g cm⁻³: 11.923
DOS at the Fermi energy, states/eV per atom: 0.36
Crystal system: monoclinic
Energy relative to the elements, eV per atom: -0.21

a = 4.8754 Å, b = 7.7007 Å, c = 8.3239 Å
α = 90.00°, β = 106.44°, γ = 90.00°
Space group P2_1/m (No. 11)
Inequivalent atoms, fractional coordinates:
Tb (0.1690, 0.2500, 0.3344) [2 per cell]
In (0.1645, 0.7500, 0.3215) [2 per cell]
Hg (0.0000, 0.0000, 0.0000) [2 per cell]
Hg (0.3290, 0.0172, 0.6648) [4 per cell]
Hg (0.4762, 0.7500, 0.9520) [2 per cell]

=====

No. 5
This record from Alexandria via LeMat-Bulk describes TbInHg3 after structural relaxation. The functional is PBE.

Output
E, eV per atom: -1.844
Theoretical density, g cm⁻³: 10.856
DOS at the Fermi energy, states/eV per atom: 0.51
Crystal system: monoclinic
Energy relative to the elements, eV per atom: -0.19

a = 28.3965 Å, b = 3.6867 Å, c = 5.1266 Å
α = 90.00°, β = 93.53°, γ = 90.00°
Space group C2/m (No. 12)
Inequivalent atoms, fractional coordinates:
Tb (0.1218, 0.0000, 0.3164) [4 per cell]
In (0.0878, 0.5000, 0.7975) [4 per cell]
Hg (0.0274, 0.5000, 0.2650) [4 per cell]
Hg (0.1876, 0.0000, 0.8417) [4 per cell]
Hg (0.2114, 0.5000, 0.3383) [4 per cell]

=====

No. 6
This record from Alexandria via LeMat-Bulk describes Tb2In8Hg after structural relaxation. The functional is PBE.

Output
E, eV per atom: -3.103
Theoretical density, g cm⁻³: 8.312
DOS at the Fermi energy, states/eV per atom: 0.35
Crystal system: tetragonal
Energy relative to the elements, eV per atom: -0.24

a = 4.6618 Å, b = 4.6618 Å, c = 13.2101 Å
α = 90.00°, β = 90.00°, γ = 90.00°
Space group P4/mmm (No. 123)
Inequivalent atoms, fractional coordinates:
Tb (0.0000, 0.0000, 0.1736) [2 per cell]
In (0.0000, 0.5000, 0.0000) [2 per cell]
In (0.0000, 0.5000, 0.3548) [4 per cell]
In (0.5000, 0.5000, 0.1754) [2 per cell]
Hg (0.0000, 0.0000, 0.5000) [1 per cell]

=====

No. 7
This record from Alexandria via LeMat-Bulk describes Tb4InHg2 after structural relaxation. The functional is PBE.

Output
E, eV per atom: -3.428
Theoretical density, g cm⁻³: 9.615
DOS at the Fermi energy, states/eV per atom: 1.25
Crystal system: trigonal
Energy relative to the elements, eV per atom: -0.30

a = 5.2337 Å, b = 5.2337 Å, c = 25.1548 Å
α = 90.00°, β = 90.00°, γ = 120.00°
Space group R-3m (No. 166, hexagonal axes)
Inequivalent atoms, fractional coordinates:
Tb (0.0000, 0.0000, 0.1162) [6 per cell]
Tb (0.0000, 0.0000, 0.3698) [6 per cell]
In (0.0000, 0.0000, 0.5000) [3 per cell]
Hg (0.0000, 0.0000, 0.2466) [6 per cell]

=====

No. 8
This record from Alexandria via LeMat-Bulk describes Tb5InHg6 after structural relaxation. The functional is PBE.

Output
E, eV per atom: -2.760
Theoretical density, g cm⁻³: 11.471
DOS at the Fermi energy, states/eV per atom: 0.79
Crystal system: orthorhombic
Energy relative to the elements, eV per atom: -0.45

a = 5.2176 Å, b = 15.5226 Å, c = 7.5534 Å
α = 90.00°, β = 90.00°, γ = 90.00°
Space group Cmmm (No. 65)
Inequivalent atoms, fractional coordinates:
Tb (0.0000, 0.0000, 0.0000) [2 per cell]
Tb (0.0000, 0.3258, 0.0000) [4 per cell]
Tb (0.0000, 0.3464, 0.5000) [4 per cell]
In (0.0000, 0.0000, 0.5000) [2 per cell]
Hg (0.0000, 0.1690, 0.2605) [8 per cell]
Hg (0.0000, 0.5000, 0.2321) [4 per cell]

=====

- Which of these has the highest theoretical density?
  TbInHg4

=====

- Look up the energy relative to the elements of the seventh one.
  -0.30 eV per atom